! GdYCdGe, optimized geometry, DFT PBE; values from VASP
&SYSTEM
  ibrav = 0, nat = 16, ntyp = 4
/
ATOMIC_SPECIES
Gd 157.25 Gd.upf
Y 88.91 Y.upf
Cd 112.41 Cd.upf
Ge 72.64 Ge.upf
CELL_PARAMETERS angstrom
7.3266 0.0000 0.0000
0.0000 7.3266 0.0000
0.0000 0.0000 7.3266
ATOMIC_POSITIONS crystal
Gd 0.0000 0.0000 0.0000
Gd 0.0000 0.5000 0.5000
Gd 0.5000 0.0000 0.5000
Gd 0.5000 0.5000 0.0000
Y 0.0000 0.0000 0.5000
Y 0.0000 0.5000 0.0000
Y 0.5000 0.0000 0.0000
Y 0.5000 0.5000 0.5000
Cd 0.2500 0.2500 0.2500
Cd 0.2500 0.7500 0.7500
Cd 0.7500 0.2500 0.7500
Cd 0.7500 0.7500 0.2500
Ge 0.2500 0.2500 0.7500
Ge 0.2500 0.7500 0.2500
Ge 0.7500 0.2500 0.2500
Ge 0.7500 0.7500 0.7500
! - density (g/cm³) = 7.28
! - raw total energy (eV per cell) = -112.186